[1]
DFT (meta-GGA SCAN) results for CaLa3N at its PBEsol-relaxed geometry.

a b c (Å): 5.2003 5.2003 5.2003
angles (deg): 90.00 90.00 90.00
Sites, in units of the cell vectors:
Ca  0.5000  0.5000  0.5000
La  0.0000  0.5000  0.0000
La  0.0000  0.0000  0.5000
La  0.5000  0.0000  0.0000
N  0.0000  0.0000  0.0000

Values from the calculation:
The uncorrected formation energy comes out at -0.549 eV/atom. The value obtained for the density of states at the Fermi level is 5.47 states/eV/f.u.

=====

[2]
DFT (meta-GGA SCAN) results for MgIn3Pd at its PBEsol-relaxed geometry.

a b c (Å): 5.1285 5.1285 5.1285
angles (deg): 90.00 90.00 90.00
Sites, in units of the cell vectors:
Mg  0.5000  0.5000  0.5000
Pd  0.0000  0.0000  0.0000
In  0.0000  0.5000  0.0000
In  0.0000  0.0000  0.5000
In  0.5000  0.0000  0.0000

Values from the calculation:
The value obtained for the density of states at the Fermi level is 1.87 states/eV/f.u. As for the formation energy: -0.02 eV/atom.

=====

[3]
DFT (meta-GGA SCAN) results for HoAlSi at its PBEsol-relaxed geometry.

a b c (Å): 3.9717 5.4325 5.6311
angles (deg): 90.00 90.00 111.44
Sites, in units of the cell vectors:
Si  0.6003  0.2006  0.2500
Si  0.3997  0.7994  0.7500
Ho  0.3047  0.6094  0.2500
Ho  0.6953  0.3906  0.7500
Al  0.0000  0.0000  0.5000
Al  0.0000  0.0000  0.0000

Values from the calculation:
The uncorrected formation energy comes out at -0.645 eV/atom. The value obtained for the density of states at the Fermi level is 0.87 states/eV/f.u.

=====

[4]
DFT (meta-GGA SCAN) results for Mn5Ge3 at its PBEsol-relaxed geometry.

a b c (Å): 4.8674 7.0014 7.0014
angles (deg): 120.00 90.00 90.00
Last column: magnetic moment on the atom in μB.
Sites, in units of the cell vectors:
Mn  0.7500  0.7559  0.7559  3.35
Mn  0.7500  0.2441  0.0000  3.35
Mn  0.7500  0.0000  0.2441  3.35
Mn  0.2500  0.0000  0.7559  3.35
Mn  0.5000  0.3333  0.6667  2.47
Mn  0.2500  0.2441  0.2441  3.35
Mn  0.5000  0.6667  0.3333  2.47
Mn  0.2500  0.7559  0.0000  3.35
Mn  0.0000  0.3333  0.6667  2.47
Mn  0.0000  0.6667  0.3333  2.47
Ge  0.2500  0.0000  0.3942  -0.17
Ge  0.7500  0.3942  0.3942  -0.17
Ge  0.2500  0.3942  0.0000  -0.17
Ge  0.7500  0.6058  0.0000  -0.17
Ge  0.2500  0.6058  0.6058  -0.17
Ge  0.7500  0.0000  0.6058  -0.17

Values from the calculation:
The value obtained for the density of states at the Fermi level is 3.00 states/eV/f.u. As for the formation energy: -0.33 eV/atom.

=====

[5]
DFT (meta-GGA SCAN) results for ZrAgO2 at its PBEsol-relaxed geometry.

a b c (Å): 4.0119 4.0119 4.0119
angles (deg): 60.00 60.00 60.00
Last column: magnetic moment on the atom in μB.
Sites, in units of the cell vectors:
O  0.2500  0.2500  0.2500  0.06
O  0.7500  0.7500  0.7500  0.06
Zr  0.0000  0.0000  0.0000  0.62
Ag  0.5000  0.5000  0.5000  0.09

Values from the calculation:
The uncorrected formation energy comes out at -1.438 eV/atom. The value obtained for the density of states at the Fermi level is 1.89 states/eV/f.u.

=====

[6]
DFT (meta-GGA SCAN) results for HgC3 at its PBEsol-relaxed geometry.

a b c (Å): 4.8218 4.8218 6.5427
angles (deg): 90.00 90.00 120.00
Sites, in units of the cell vectors:
C  0.2028  0.1014  0.7500
C  0.8986  0.7972  0.7500
C  0.8986  0.1014  0.7500
C  0.7972  0.8986  0.2500
C  0.1014  0.2028  0.2500
C  0.1014  0.8986  0.2500
Hg  0.3333  0.6667  0.7500
Hg  0.6667  0.3333  0.2500

Values from the calculation:
For the energy above the most stable polymorph in this dataset, the calculation gives 1.713 eV per atom. As for the formation energy: 2.46 eV/atom.

=====

[7]
DFT (meta-GGA SCAN) results for CdRuBr4 at its PBEsol-relaxed geometry.

a b c (Å): 5.9918 5.9918 5.9918
angles (deg): 60.00 60.00 60.00
Last column: magnetic moment on the atom in μB.
Sites, in units of the cell vectors:
Br  0.8762  0.3746  0.3746  -0.20
Br  0.3746  0.3746  0.3746  -0.20
Br  0.3746  0.3746  0.8762  -0.20
Br  0.3746  0.8762  0.3746  -0.20
Cd  0.7500  0.7500  0.7500  -0.09
Ru  0.0000  0.0000  0.0000  2.56

Values from the calculation:
The uncorrected formation energy comes out at 1.111 eV/atom. The value obtained for the density of states at the Fermi level is 7.69 states/eV/f.u.

=====

[8]
DFT (meta-GGA SCAN) results for AlFeSe2 at its PBEsol-relaxed geometry.

a b c (Å): 3.1572 4.5138 4.5138
angles (deg): 90.00 90.00 90.00
Last column: magnetic moment on the atom in μB.
Sites, in units of the cell vectors:
Fe  0.5000  0.0000  0.0000  3.04
Se  0.0000  0.0000  0.5000  -0.03
Se  0.0000  0.5000  0.0000  -0.03
Al  0.5000  0.5000  0.5000  0.02

Values from the calculation:
The uncorrected formation energy comes out at 0.165 eV/atom. The value obtained for the density of states at the Fermi level is 2.37 states/eV/f.u.

=====

[9]
DFT (meta-GGA SCAN) results for LiReP2 at its PBEsol-relaxed geometry.

a b c (Å): 2.9271 2.9271 7.7573
angles (deg): 79.12 79.12 60.00
Sites, in units of the cell vectors:
Li  0.2559  0.2559  0.2322
P  0.0085  0.0085  0.9745
P  0.7479  0.7479  0.7562
Re  0.4876  0.4876  0.5371

Values from the calculation:
The value obtained for the density of states at the Fermi level is 2.85 states/eV/f.u. For the energy above the most stable polymorph in this dataset, the calculation gives 0.000 eV per atom. As for the formation energy: 0.21 eV/atom.

=====

[10]
DFT (meta-GGA SCAN) results for ReAs2CSe at its PBEsol-relaxed geometry.

a b c (Å): 4.7655 4.7644 4.7644
angles (deg): 90.00 90.00 90.00
Last column: magnetic moment on the atom in μB.
Sites, in units of the cell vectors:
Re  0.0000  0.0000  0.0000  0.26
As  0.0000  0.0000  0.5000  -0.19
As  0.0000  0.5000  0.0000  -0.19
C  0.5000  0.5000  0.5000  0.95
Se  0.5000  0.0000  0.0000  -0.12

Values from the calculation:
The uncorrected formation energy comes out at 1.848 eV/atom. The value obtained for the density of states at the Fermi level is 3.59 states/eV/f.u.

=====

[11]
DFT (meta-GGA SCAN) results for MgTl2Cd at its PBEsol-relaxed geometry.

a b c (Å): 3.2923 3.2923 10.7272
angles (deg): 81.17 81.17 60.00
Sites, in units of the cell vectors:
Tl  0.2494  0.2494  0.2518
Tl  0.7506  0.7506  0.7482
Mg  0.5000  0.5000  0.5000
Cd  0.0000  0.0000  0.0000

Values from the calculation:
The value obtained for the density of states at the Fermi level is 1.54 states/eV/f.u. For the energy above the most stable polymorph in this dataset, the calculation gives 0.050 eV per atom. As for the formation energy: 0.02 eV/atom.

=====

[12]
DFT (meta-GGA SCAN) results for Ba3LiBe at its PBEsol-relaxed geometry.

a b c (Å): 6.2570 6.2570 6.2570
angles (deg): 90.00 90.00 90.00
Sites, in units of the cell vectors:
Be  0.0000  0.0000  0.0000
Ba  0.0000  0.5000  0.0000
Ba  0.0000  0.0000  0.5000
Ba  0.5000  0.0000  0.0000
Li  0.5000  0.5000  0.5000

Values from the calculation:
The value obtained for the density of states at the Fermi level is 5.17 states/eV/f.u. As for the formation energy: 0.35 eV/atom.

=====

For each record above, in turn, the calculated M_tot values are 0.1; 0.0; 0.0; 28.9; 1.0; 0.0; 1.7; 3.0; 0.0; 1.4; 0.0; 0.0 μB per cell.